This record from the Alexandria database describes an optimized crystal structure of Sc7Zn2Ga2. The functional is PBE.

Computed properties:
Formation energy   -0.94 eV/f.u.
Symmetry   No. 65

Cell and atoms, written as POSCAR:
```
Sc7Zn2Ga2
1.0
3.507 -5.063 0.000
3.507 5.063 0.000
0.000 0.000 6.984
Sc Zn Ga
7 2 2
Direct
0.000 0.000 0.000 Sc
0.000 0.500 0.286 Sc
0.000 0.500 0.714 Sc
0.500 0.000 0.286 Sc
0.500 0.000 0.714 Sc
0.500 0.500 0.260 Sc
0.500 0.500 0.740 Sc
0.289 0.711 0.000 Zn
0.711 0.289 0.000 Zn
0.178 0.178 0.500 Ga
0.822 0.822 0.500 Ga
```

This record from the Alexandria database describes an optimized crystal structure of Sc2Zn3Ga4. The functional is PBE.

Computed properties:
Formation energy   -3.03 eV/f.u.
Symmetry   No. 64

Cell and atoms, written as POSCAR:
```
Sc2Zn3Ga4
1.0
2.775 -7.457 0.000
2.775 7.457 0.000
0.000 0.000 7.496
Sc Zn Ga
4 6 8
Direct
0.103 0.897 0.898 Sc
0.397 0.603 0.398 Sc
0.603 0.397 0.602 Sc
0.897 0.103 0.102 Sc
0.000 0.000 0.500 Zn
0.015 0.485 0.750 Zn
0.485 0.015 0.250 Zn
0.500 0.500 0.000 Zn
0.515 0.985 0.750 Zn
0.985 0.515 0.250 Zn
0.172 0.828 0.522 Ga
0.188 0.312 0.750 Ga
0.312 0.188 0.250 Ga
0.328 0.672 0.022 Ga
0.672 0.328 0.978 Ga
0.688 0.812 0.750 Ga
0.812 0.688 0.250 Ga
0.828 0.172 0.478 Ga
```

This record from the Alexandria database describes an optimized crystal structure of Sc3Zn3Ga. The functional is PBE.

Computed properties:
Formation energy   -2.77 eV/f.u.
Symmetry   No. 44

Cell and atoms, written as POSCAR:
```
Sc3Zn3Ga
1.0
-1.645 2.159 9.190
1.645 -2.159 9.190
1.645 2.159 -9.190
Sc Zn Ga
3 3 1
Direct
0.000 0.000 0.000 Sc
0.396 0.396 0.000 Sc
0.698 0.198 0.500 Sc
0.128 0.628 0.500 Zn
0.555 0.555 0.000 Zn
0.842 0.842 0.000 Zn
0.265 0.765 0.500 Ga
```

This record from the Alexandria database describes an optimized crystal structure of Sc3ZnGa. The functional is PBE.

Computed properties:
Formation energy   0.98 eV/f.u.
Symmetry   No. 221

Cell and atoms, written as POSCAR:
```
Sc3ZnGa
1.0
4.990 0.000 0.000
0.000 4.990 0.000
0.000 0.000 4.990
Sc Zn Ga
3 1 1
Direct
0.000 0.000 0.500 Sc
0.000 0.500 0.000 Sc
0.500 0.000 0.000 Sc
0.000 0.000 0.000 Zn
0.500 0.500 0.500 Ga
```